(1)
Entry from Alexandria via LeMat-Bulk: a relaxed InReRu2 crystal (PBE).

Computed properties:
energy relative to the elements = 0.375 eV/atom
SG = Imm2
total energy = -8.06 eV/atom

Unit cell a=5.3392 b=5.3392 c=5.3392 alpha=146.93 beta=130.12 gamma=61.16
Positions (direct):
Ru1 0.0121 0.0121 0.0000
Ru2 0.7443 0.2443 0.5000
Re1 0.2448 0.7448 0.5000
In1 0.4988 0.4988 0.0000



(2)
Entry from Alexandria via LeMat-Bulk: a relaxed Y2MgTa crystal (PBE).

Computed properties:
energy relative to the elements = 0.459 eV/atom
SG = F-43m
total energy = -6.14 eV/atom

Unit cell a=5.1788 b=5.1788 c=5.1788 alpha=60.00 beta=60.00 gamma=60.00
Positions (direct):
Ta1 0.7500 0.7500 0.7500
Y1 0.0000 0.0000 0.0000
Y2 0.2500 0.2500 0.2500
Mg1 0.5000 0.5000 0.5000



(3)
Entry from Alexandria via LeMat-Bulk: a relaxed Sr2AlCdPt crystal (PBE).

Computed properties:
energy relative to the elements = -0.480 eV/atom
SG = P4/mmm
total energy = -3.29 eV/atom

Unit cell a=5.9276 b=5.9276 c=4.7750 alpha=90.00 beta=90.00 gamma=90.00
Positions (direct):
Cd1 0.5000 0.5000 0.5000
Sr1 0.5000 0.0000 0.0000
Sr2 0.0000 0.5000 0.0000
Pt1 0.0000 0.0000 0.0000
Al1 0.0000 0.0000 0.5000



(4)
Entry from Alexandria via LeMat-Bulk: a relaxed Pm7Ho2Sc2 crystal (PBE).

Computed properties:
energy relative to the elements = 0.149 eV/atom
distance to the lowest polymorph of the same formula = 0.0 meV per atom
SG = C2/m
total energy = -4.86 eV/atom

Unit cell a=6.0817 b=7.9361 c=7.9361 alpha=92.89 beta=75.38 gamma=75.38
Positions (direct):
Ho1 0.5821 0.7871 0.7871
Ho2 0.4179 0.2129 0.2129
Pm1 0.1910 0.0582 0.5810
Pm2 0.8090 0.9418 0.4190
Pm3 0.8090 0.4190 0.9418
Pm4 0.2041 0.5782 0.5782
Pm5 0.7959 0.4218 0.4218
Pm6 0.0000 0.0000 0.0000
Pm7 0.1910 0.5810 0.0582
Sc1 0.5000 0.2232 0.7768
Sc2 0.5000 0.7768 0.2232